Here is an optimized crystal structure of K2VAgS4 from Alexandria via LeMat-Bulk. Energies are from GGA-PBEsol.

```
K2VAgS4
1.0
0.000 6.393 11.002
2.840 0.000 11.002
2.840 6.393 0.000
K V Ag S
4 2 2 8
direct
0.056 0.056 0.694 K
0.306 0.306 0.944 K
0.694 0.694 0.056 K
0.944 0.944 0.306 K
0.125 0.125 0.125 V
0.875 0.875 0.875 V
0.375 0.375 0.375 Ag
0.625 0.625 0.625 Ag
0.078 0.288 0.376 S
0.242 0.624 0.712 S
0.288 0.078 0.758 S
0.376 0.758 0.078 S
0.624 0.242 0.922 S
0.712 0.922 0.242 S
0.758 0.376 0.288 S
0.922 0.712 0.624 S
```

Computed properties:
formation energy without anion corrections	-731	kJ/mol of formula units
uncorrected energy	-5.041	eV/atom

=====

Here is an optimized crystal structure of KAg2Sb from Alexandria via LeMat-Bulk. Energies are from GGA-PBEsol.

```
KAg2Sb
1.0
3.726 0.000 0.000
0.000 3.726 0.000
0.000 0.000 7.383
K Ag Sb
1 2 1
direct
0.000 0.000 0.000 K
0.500 0.500 0.312 Ag
0.500 0.500 0.688 Ag
0.000 0.000 0.500 Sb
```

Computed properties:
formation energy without anion corrections	71	kJ/mol of formula units
uncorrected energy	-2.895	eV/atom

=====

Here is an optimized crystal structure of KAg2Sb from Alexandria via LeMat-Bulk. Energies are from GGA-PBEsol.

```
KAg2Sb
1.0
3.481 0.000 0.000
0.000 3.481 0.000
0.000 0.000 8.101
K Ag Sb
1 2 1
direct
0.000 0.000 0.000 K
0.000 0.000 0.530 Ag
0.500 0.500 0.691 Ag
0.500 0.500 0.326 Sb
```

Computed properties:
formation energy without anion corrections	21	kJ/mol of formula units
uncorrected energy	-3.025	eV/atom

=====

Here is an optimized crystal structure of K2AgSb2 from Alexandria via LeMat-Bulk. Energies are from GGA-PBEsol.

```
K2AgSb2
1.0
7.285 0.000 0.000
0.000 7.285 0.000
0.000 0.000 5.696
K Ag Sb
4 2 4
direct
0.166 0.334 0.000 K
0.334 0.834 0.000 K
0.666 0.166 0.000 K
0.834 0.666 0.000 K
0.000 0.000 0.500 Ag
0.500 0.500 0.500 Ag
0.143 0.643 0.500 Sb
0.357 0.143 0.500 Sb
0.643 0.857 0.500 Sb
0.857 0.357 0.500 Sb
```

Computed properties:
formation energy without anion corrections	-136	kJ/mol of formula units
uncorrected energy	-3.220	eV/atom

=====

Here is an optimized crystal structure of KAg2Sb from Alexandria via LeMat-Bulk. Energies are from GGA-PBEsol.

```
KAg2Sb
1.0
2.398 1.384 5.781
-2.398 1.384 5.781
0.000 -2.768 5.781
K Ag Sb
1 2 1
direct
0.000 0.000 0.000 K
0.189 0.189 0.189 Ag
0.811 0.811 0.811 Ag
0.500 0.500 0.500 Sb
```

Computed properties:
formation energy without anion corrections	-46	kJ/mol of formula units
uncorrected energy	-3.198	eV/atom

=====

Here is an optimized crystal structure of KAg2Sb from Alexandria via LeMat-Bulk. Energies are from GGA-PBEsol.

```
KAg2Sb
1.0
4.132 -2.386 0.000
4.132 2.386 0.000
-2.767 0.000 5.945
K Ag Sb
1 2 1
direct
0.000 0.000 0.000 K
0.186 0.186 0.554 Ag
0.507 0.507 0.518 Ag
0.806 0.806 0.414 Sb
```

Computed properties:
formation energy without anion corrections	-52	kJ/mol of formula units
uncorrected energy	-3.213	eV/atom

=====

Here is an optimized crystal structure of KAg3Sb from Alexandria via LeMat-Bulk. Energies are from GGA-PBEsol.

```
KAg3Sb
1.0
5.166 0.000 0.000
0.000 5.166 0.000
0.000 0.000 5.166
K Ag Sb
1 3 1
direct
0.000 0.000 0.000 K
0.000 0.000 0.500 Ag
0.000 0.500 0.000 Ag
0.500 0.000 0.000 Ag
0.500 0.500 0.500 Sb
```

Computed properties:
formation energy without anion corrections	607	kJ/mol of formula units
uncorrected energy	-1.867	eV/atom

=====

Here is an optimized crystal structure of KAgSb from Alexandria via LeMat-Bulk. Energies are from GGA-PBEsol.

```
KAgSb
1.0
0.000 3.636 3.636
3.636 0.000 3.636
3.636 3.636 0.000
K Ag Sb
1 1 1
direct
0.000 0.000 0.000 K
0.250 0.250 0.250 Ag
0.750 0.750 0.750 Sb
```

Computed properties:
formation energy without anion corrections	198	kJ/mol of formula units
uncorrected energy	-2.315	eV/atom

=====

Here is an optimized crystal structure of K2SiAgSb from Alexandria via LeMat-Bulk. Energies are from GGA-PBEsol.

```
K2SiAgSb
1.0
6.398 0.000 0.000
0.000 6.398 0.000
0.000 0.000 4.949
K Si Ag Sb
2 1 1 1
direct
0.000 0.500 0.000 K
0.500 0.000 0.000 K
0.000 0.000 0.000 Si
0.500 0.500 0.500 Ag
0.000 0.000 0.500 Sb
```

Computed properties:
formation energy without anion corrections	201	kJ/mol of formula units
uncorrected energy	-2.760	eV/atom

=====

Here is an optimized crystal structure of KAgSbTe2 from Alexandria via LeMat-Bulk. Energies are from GGA-PBEsol.

```
KAgSbTe2
1.0
5.805 0.000 0.000
0.000 5.805 0.000
0.000 0.000 5.688
K Ag Sb Te
1 1 1 2
direct
0.000 0.000 0.000 K
0.500 0.500 0.500 Ag
0.000 0.000 0.500 Sb
0.000 0.500 0.000 Te
0.500 0.000 0.000 Te
```

Computed properties:
formation energy without anion corrections	579	kJ/mol of formula units
uncorrected energy	-2.011	eV/atom

=====

Here is an optimized crystal structure of K2Sc2Ag from Alexandria via LeMat-Bulk. Energies are from GGA-PBEsol.

```
K2Sc2Ag
1.0
-2.003 2.003 9.130
2.003 -2.003 9.130
2.003 2.003 -9.130
K Sc Ag
2 2 1
direct
0.250 0.750 0.500 K
0.750 0.250 0.500 K
0.073 0.073 0.000 Sc
0.927 0.927 0.000 Sc
0.500 0.500 0.000 Ag
```

Computed properties:
calculated formation energy	0.824	eV per atom
uncorrected energy	-2.934	eV/atom
energy above the most stable polymorph in this dataset	0.2544	eV/atom

=====

Here is an optimized crystal structure of KScAg2 from Alexandria via LeMat-Bulk. Energies are from GGA-PBEsol.

```
KScAg2
1.0
3.783 -3.791 0.000
3.783 3.791 0.000
0.000 0.000 3.145
K Sc Ag
1 1 2
direct
0.000 0.000 0.000 K
0.500 0.500 0.000 Sc
0.000 0.500 0.500 Ag
0.500 0.000 0.500 Ag
```

Computed properties:
calculated formation energy	0.156	eV per atom
uncorrected energy	-3.434	eV/atom
energy above the most stable polymorph in this dataset	0.1895	eV/atom

=====

Here is an optimized crystal structure of KScAg2 from Alexandria via LeMat-Bulk. Energies are from GGA-PBEsol.

```
KScAg2
1.0
-1.540 2.648 5.648
1.540 -2.648 5.648
1.540 2.648 -5.648
K Sc Ag
1 1 2
direct
0.000 0.000 0.000 K
0.300 0.800 0.500 Sc
0.524 0.524 0.000 Ag
0.733 0.233 0.500 Ag
```

Computed properties:
calculated formation energy	0.221	eV per atom
uncorrected energy	-3.369	eV/atom
energy above the most stable polymorph in this dataset	0.2544	eV/atom

=====

Here is an optimized crystal structure of KScAg2 from Alexandria via LeMat-Bulk. Energies are from GGA-PBEsol.

```
KScAg2
1.0
3.478 0.000 0.000
0.000 3.478 0.000
0.000 0.000 8.043
K Sc Ag
1 1 2
direct
0.000 0.000 0.000 K
0.000 0.000 0.500 Sc
0.500 0.500 0.318 Ag
0.500 0.500 0.682 Ag
```

Computed properties:
calculated formation energy	-0.033	eV per atom
uncorrected energy	-3.623	eV/atom
energy above the most stable polymorph in this dataset	0.0000	eV/atom

=====

Here is an optimized crystal structure of KScAg2 from Alexandria via LeMat-Bulk. Energies are from GGA-PBEsol.

```
KScAg2
1.0
1.714 0.989 9.610
-1.714 0.989 9.610
0.000 -1.979 9.610
K Sc Ag
1 1 2
direct
0.000 0.000 0.000 K
0.500 0.500 0.500 Sc
0.237 0.237 0.237 Ag
0.763 0.763 0.763 Ag
```

Computed properties:
calculated formation energy	0.202	eV per atom
uncorrected energy	-3.389	eV/atom
energy above the most stable polymorph in this dataset	0.2348	eV/atom

=====

Here is an optimized crystal structure of K2Sc2Ag from Alexandria via LeMat-Bulk. Energies are from GGA-PBEsol.

```
K2Sc2Ag
1.0
-2.013 2.013 11.027
2.013 -2.013 11.027
2.013 2.013 -11.027
K Sc Ag
2 2 1
direct
0.091 0.091 0.000 K
0.909 0.909 0.000 K
0.250 0.750 0.500 Sc
0.750 0.250 0.500 Sc
0.500 0.500 0.000 Ag
```

Computed properties:
calculated formation energy	0.569	eV per atom
uncorrected energy	-3.188	eV/atom
energy above the most stable polymorph in this dataset	0.0000	eV/atom

=====

Here is an optimized crystal structure of KAgSe2 from Alexandria via LeMat-Bulk. Energies are from GGA-PBEsol.

```
KAgSe2
1.0
2.856 0.000 0.000
0.000 5.599 0.000
0.000 0.000 5.599
K Ag Se
1 1 2
direct
0.000 0.000 0.000 K
0.500 0.500 0.499 Ag
0.500 0.000 0.500 Se
0.500 0.500 0.999 Se
```

Computed properties:
formation energy without anion corrections	-124	kJ/mol of formula units
uncorrected energy	-3.357	eV/atom

=====

Here is an optimized crystal structure of KAgSe3 from Alexandria via LeMat-Bulk. Energies are from GGA-PBEsol.

```
KAgSe3
1.0
5.095 0.000 0.000
0.000 5.095 0.000
0.000 0.000 5.095
K Ag Se
1 1 3
direct
0.000 0.000 0.000 K
0.500 0.500 0.500 Ag
0.000 0.500 0.500 Se
0.500 0.000 0.500 Se
0.500 0.500 0.000 Se
```

Computed properties:
formation energy without anion corrections	-20	kJ/mol of formula units
uncorrected energy	-3.241	eV/atom

=====

Here is an optimized crystal structure of KAgSe2 from Alexandria via LeMat-Bulk. Energies are from GGA-PBEsol.

```
KAgSe2
1.0
5.465 -1.943 0.000
5.465 1.943 0.000
-4.776 0.000 5.644
K Ag Se
1 1 2
direct
0.000 0.000 0.000 K
0.000 0.000 0.500 Ag
0.371 0.371 0.218 Se
0.629 0.629 0.782 Se
```

Computed properties:
formation energy without anion corrections	-177	kJ/mol of formula units
uncorrected energy	-3.495	eV/atom

=====

Here is an optimized crystal structure of K2AgSe from Alexandria via LeMat-Bulk. Energies are from GGA-PBEsol.

```
K2AgSe
1.0
-2.538 2.538 4.314
2.538 -2.538 4.314
2.538 2.538 -4.314
K Ag Se
2 1 1
direct
0.250 0.750 0.500 K
0.750 0.250 0.500 K
0.000 0.000 0.000 Ag
0.500 0.500 0.000 Se
```

Computed properties:
formation energy without anion corrections	-130	kJ/mol of formula units
uncorrected energy	-2.694	eV/atom